{
  "formula": "CdBrO",
  "functional": "PBE-GGA",
  "state": "optimized geometry",
  "lattice_angstrom": [[7.471, 0.000, 0.000], [0.000, 5.488, -0.011], [0.000, 2.742, 6.190]],
  "species": ["Br", "Br", "Br", "Br", "Cd", "Cd", "Cd", "Cd", "O", "O", "O", "O"],
  "frac_coords": [[0.607, 0.363, 0.815], [0.393, 0.637, 0.185], [0.107, 0.637, 0.685], [0.893, 0.363, 0.315], [0.630, 0.980, 0.294], [0.130, 0.020, 0.206], [0.370, 0.020, 0.706], [0.870, 0.980, 0.794], [0.635, 0.856, 0.660], [0.865, 0.856, 0.160], [0.135, 0.144, 0.840], [0.365, 0.144, 0.340]],
  "spacegroup": "No. 14",
  "magmom_total_mub_per_fu": 0.9,
  "e_form_raw_ev_per_fu": -1.39,
  "crystal_system": "monoclinic"
}